Entry P
## LiVSiO4 (PBE+U)

Data for a relaxed structure of LiVSiO4.

a b c (Å): 7.315 7.315 7.315
angles (deg): 90.00 90.00 90.00
Space group P2_13 (No. 198)
Inequivalent atoms, fractional coordinates:
Li  0.246  0.246  0.246 x4
V  0.194  0.306  0.694 x4
Si  0.031  0.969  0.469 x4
O  0.027  0.884  0.679 x12
O  0.158  0.842  0.342 x4


Entry Q
## LiVSiO4 (PBE+U)

Data for a relaxed structure of LiVSiO4.

a b c (Å): 5.514 5.908 8.452
angles (deg): 90.00 90.00 90.00
Space group Imma (No. 74)
Inequivalent atoms, fractional coordinates:
Li  0.000  0.250  0.120 x4
V  0.000  0.000  0.500 x4
Si  0.250  0.250  0.750 x4
O  0.000  0.043  0.747 x8
O  0.240  0.250  0.537 x8


Relative energies in eV/atom: entry P 0.021; entry Q 0.000


Entry P
## LiVSiO4 (PBE+U)

Data for a relaxed structure of LiVSiO4.

a b c (Å): 10.432 5.810 4.792
angles (deg): 90.00 90.00 90.00
Space group Pnma (No. 62)
Inequivalent atoms, fractional coordinates:
Li  0.000  0.000  0.000 x4
V  0.227  0.250  0.499 x4
Si  0.093  0.750  0.446 x4
O  0.050  0.250  0.690 x4
O  0.100  0.750  0.782 x4
O  0.174  0.535  0.290 x8


Entry Q
## LiVSiO4 (PBE+U)

Data for a relaxed structure of LiVSiO4.

a b c (Å): 5.649 5.953 7.924
angles (deg): 90.00 90.00 90.00
Space group Imma (No. 74)
Inequivalent atoms, fractional coordinates:
Li  0.250  0.250  0.250 x4
V  0.000  0.000  0.000 x4
Si  0.000  0.250  0.632 x4
O  0.000  0.019  0.748 x8
O  0.242  0.250  0.507 x8


Relative energies in eV/atom: entry P 0.000; entry Q 0.046


Entry P
## LiVSiO4 (PBE+U)

Data for a relaxed structure of LiVSiO4.

a b c (Å): 9.144 6.346 4.904
angles (deg): 90.00 90.00 90.00
Space group Pnma (No. 62)
Inequivalent atoms, fractional coordinates:
Li  0.167  0.250  0.020 x4
V  0.000  0.000  0.500 x4
Si  0.178  0.750  0.023 x4
O  0.119  0.536  0.170 x8
O  0.124  0.750  0.697 x4
O  0.141  0.250  0.590 x4


Entry Q
## LiVSiO4 (PBE+U)

Data for a relaxed structure of LiVSiO4.

a b c (Å): 13.9710 13.9710 9.4153
angles (deg): 90.00 90.00 120.00
Space group R3 (No. 146, hexagonal axes)
Inequivalent atoms, fractional coordinates:
Li  0.0178  0.8171  0.0000 x9
Li  0.1462  0.4525  0.1625 x9
V  0.0230  0.8002  0.3332 x9
V  0.1391  0.4517  0.4976 x9
Si  0.0191  0.8051  0.6675 x9
Si  0.1399  0.4558  0.8353 x9
O  0.0042  0.6539  0.3382 x9
O  0.0150  0.3450  0.8376 x9
O  0.0799  0.8708  0.5194 x9
O  0.0803  0.8801  0.8082 x9
O  0.1027  0.8923  0.1745 x9
O  0.2019  0.4620  0.6837 x9
O  0.2122  0.0905  0.3068 x9
O  0.2191  0.7789  0.3371 x9


Entry R
## LiVSiO4 (PBE+U)

Data for a relaxed structure of LiVSiO4.

a b c (Å): 14.0198 14.0198 9.4585
angles (deg): 90.00 90.00 120.00
Space group R-3 (No. 148, hexagonal axes)
Inequivalent atoms, fractional coordinates:
Li  0.0161  0.2068  0.2525 x18
V  0.0179  0.2211  0.5883 x18
Si  0.0206  0.2059  0.9240 x18
O  0.0100  0.3157  0.9404 x18
O  0.0708  0.1973  0.7733 x18
O  0.0957  0.2017  0.0579 x18
O  0.0991  0.2240  0.4277 x18


Entry S
## LiVSiO4 (PBE+U)

Data for a relaxed structure of LiVSiO4.

a b c (Å): 10.328 5.169 13.644
angles (deg): 90.00 90.00 90.00
Space group Pca2_1 (No. 29)
Inequivalent atoms, fractional coordinates:
Li  0.035  0.065  0.000 x4
Li  0.210  0.552  0.250 x4
V  0.034  0.920  0.750 x4
V  0.215  0.557  0.998 x4
Si  0.035  0.430  0.623 x4
Si  0.216  0.054  0.375 x4
O  0.005  0.117  0.631 x4
O  0.025  0.431  0.222 x4
O  0.038  0.452  0.025 x4
O  0.059  0.000  0.370 x4
O  0.191  0.491  0.617 x4
O  0.217  0.924  0.973 x4
O  0.218  0.916  0.778 x4
O  0.247  0.367  0.378 x4


Relative energies in eV/atom: entry P 0.000; entry Q 0.041; entry R 0.071; entry S 0.060


Entry P
## LiVSiO4 (PBE+U)

Data for a relaxed structure of LiVSiO4.

a b c (Å): 4.861 4.861 7.694
angles (deg): 90.00 90.00 90.00
Space group I-4 (No. 82)
Inequivalent atoms, fractional coordinates:
Li  0.000  0.000  0.000 x2
V  0.000  0.000  0.500 x2
Si  0.000  0.500  0.750 x2
O  0.184  0.707  0.627 x8


Entry Q
## LiVSiO4 (PBE+U)

Data for a relaxed structure of LiVSiO4.

a b c (Å): 8.686 5.217 8.609
angles (deg): 90.00 107.67 90.00
Space group Pc (No. 7)
Inequivalent atoms, fractional coordinates:
Li  0.000  0.171  0.000 x2
Li  0.487  0.323  0.351 x2
V  0.240  0.174  0.760 x2
V  0.735  0.328  0.113 x2
Si  0.119  0.319  0.376 x2
Si  0.615  0.185  0.742 x2
O  0.098  0.181  0.540 x2
O  0.148  0.371  0.902 x2
O  0.273  0.182  0.332 x2
O  0.455  0.299  0.785 x2
O  0.599  0.126  0.207 x2
O  0.640  0.334  0.583 x2
O  0.769  0.251  0.904 x2
O  0.960  0.258  0.219 x2


Entry R
## LiVSiO4 (PBE+U)

Data for a relaxed structure of LiVSiO4.

a b c (Å): 5.498 8.278 6.265
angles (deg): 90.00 90.00 90.00
Space group Cmcm (No. 63)
Inequivalent atoms, fractional coordinates:
Li  0.000  0.170  0.250 x4
V  0.000  0.500  0.000 x4
Si  0.000  0.152  0.750 x4
O  0.000  0.263  0.536 x8
O  0.241  0.027  0.750 x8


Relative energies in eV/atom: entry P 0.083; entry Q 0.053; entry R 0.000